No. 1
## LaBeSe2Br (meta-GGA SCAN)

Data for LaBeSe2Br at its PBEsol-relaxed geometry.

Calculated values
DFT total energy: -22.624 eV/atom
symmetry: P4/mmm (123)
total moment: 0.000 μB/cell
ΔE_f (raw): -1.209 eV per atom

a b c (Å): 4.596 4.804 4.804
angles (deg): 90.00 90.00 90.00
Atoms (fractional coordinates):
Se  0.000  0.000  0.500
Se  0.000  0.500  0.000
Be  0.000  0.000  0.000
Br  0.500  0.000  0.000
La  0.500  0.500  0.500

=====

No. 2
## LaBeSnBr2 (meta-GGA SCAN)

Data for LaBeSnBr2 at its PBEsol-relaxed geometry.

Calculated values
DFT total energy: -24.532 eV/atom
symmetry: P4/mmm (123)
total moment: 1.689 μB/cell
ΔE_f (raw): -0.072 eV per atom

a b c (Å): 4.441 5.739 5.739
angles (deg): 90.00 90.00 90.00
Atoms (fractional coordinates):
La  0.500  0.500  0.500
Br  0.000  0.500  0.000
Br  0.000  0.000  0.500
Sn  0.000  0.000  0.000
Be  0.500  0.000  0.000

=====

No. 3
## LiBeBr (meta-GGA SCAN)

Data for LiBeBr at its PBEsol-relaxed geometry.

Calculated values
DFT total energy: -8.342 eV/atom
symmetry: F-43m (216)
energy above the most stable polymorph in this dataset: 479 meV per atom
total moment: 0.000 μB/cell
ΔE_f (raw): 0.392 eV per atom

a b c (Å): 4.599 4.599 4.599
angles (deg): 60.00 60.00 60.00
Atoms (fractional coordinates):
Li  0.000  0.000  0.000
Be  0.500  0.500  0.500
Br  0.250  0.250  0.250

=====

Please write out number 3 again, unchanged.
## LiBeBr (meta-GGA SCAN)

Data for LiBeBr at its PBEsol-relaxed geometry.

Calculated values
DFT total energy: -8.342 eV/atom
symmetry: F-43m (216)
energy above the most stable polymorph in this dataset: 479 meV per atom
total moment: 0.000 μB/cell
ΔE_f (raw): 0.392 eV per atom

a b c (Å): 4.599 4.599 4.599
angles (deg): 60.00 60.00 60.00
Atoms (fractional coordinates):
Li  0.000  0.000  0.000
Be  0.500  0.500  0.500
Br  0.250  0.250  0.250

=====

What is the formula in the third record? LiBeBr